# 1
# DyP2Pt8, optimized geometry, DFT GGA-PBE
# - formation enthalpy at 0 K (kJ/mol of formula units) = -696
# - total magnetic moment (μB per formula unit) = 0.0
# - distance to the lowest polymorph of the same formula (eV per atom) = 0.000
# - final energy (eV per cell) = -141.9
data_DyP2Pt8
_space_group_name_H-M_alt 'C 1 2/m 1'
_space_group_IT_number 12
_space_group_name_Hall '-C 2y'
_cell_length_a 11.9865
_cell_length_b 4.0498
_cell_length_c 9.4085
_cell_angle_alpha 90.00
_cell_angle_beta 127.27
_cell_angle_gamma 90.00
loop_
_atom_site_label
_atom_site_type_symbol
_atom_site_fract_x
_atom_site_fract_y
_atom_site_fract_z
_atom_site_occupancy
Dy1 Dy 0.0000 0.0000 0.0000 1
P1 P 0.0588 0.5000 0.7904 1
Pt1 Pt 0.0242 0.0000 0.3691 1
Pt2 Pt 0.1670 0.5000 0.6523 1
Pt3 Pt 0.1768 0.5000 0.3448 1
Pt4 Pt 0.2218 0.5000 0.0855 1



# 2
# DyPPt6, optimized geometry, DFT GGA-PBE
# - formation enthalpy at 0 K (kJ/mol of formula units) = -432
# - total magnetic moment (μB per formula unit) = 0.0
# - final energy (eV per cell) = -152.2
data_DyPPt6
_space_group_name_H-M_alt 'R -3 m'
_space_group_IT_number 166
_space_group_name_Hall '-R 3 2"'
_cell_length_a 5.5164
_cell_length_b 5.5164
_cell_length_c 17.6629
_cell_angle_alpha 90.00
_cell_angle_beta 90.00
_cell_angle_gamma 120.00
loop_
_atom_site_label
_atom_site_type_symbol
_atom_site_fract_x
_atom_site_fract_y
_atom_site_fract_z
_atom_site_occupancy
Dy1 Dy 0.0000 0.0000 0.0000 1
P1 P 0.0000 0.0000 0.5000 1
Pt1 Pt 0.0101 0.5051 0.9226 1



# 3
# DyP2Pt8, optimized geometry, DFT GGA-PBE
# - formation enthalpy at 0 K (kJ/mol of formula units) = -319
# - total magnetic moment (μB per formula unit) = 0.0
# - distance to the lowest polymorph of the same formula (eV per atom) = 0.356
# - final energy (eV per cell) = -134.1
data_DyP2Pt8
_space_group_name_H-M_alt 'I 4/m m m'
_space_group_IT_number 139
_space_group_name_Hall '-I 4 2'
_cell_length_a 5.4587
_cell_length_b 5.4587
_cell_length_c 14.5884
_cell_angle_alpha 90.00
_cell_angle_beta 90.00
_cell_angle_gamma 90.00
loop_
_atom_site_label
_atom_site_type_symbol
_atom_site_fract_x
_atom_site_fract_y
_atom_site_fract_z
_atom_site_occupancy
Dy1 Dy 0.0000 0.0000 0.0000 1
P1 P 0.0000 0.5000 0.2500 1
Pt1 Pt 0.2466 0.2466 0.3518 1



# 4
# DyP2Pt4, optimized geometry, DFT GGA-PBE
# - formation enthalpy at 0 K (kJ/mol of formula units) = -531
# - total magnetic moment (μB per formula unit) = 0.0
# - final energy (eV per cell) = -90.2
data_DyP2Pt4
_space_group_name_H-M_alt 'P 42/m n m'
_space_group_IT_number 136
_space_group_name_Hall '-P 4n 2n'
_cell_length_a 7.9641
_cell_length_b 7.9641
_cell_length_c 3.6540
_cell_angle_alpha 90.00
_cell_angle_beta 90.00
_cell_angle_gamma 90.00
loop_
_atom_site_label
_atom_site_type_symbol
_atom_site_fract_x
_atom_site_fract_y
_atom_site_fract_z
_atom_site_occupancy
Dy1 Dy 0.0000 0.0000 0.0000 1
P1 P 0.2293 0.2293 0.5000 1
Pt1 Pt 0.0570 0.6969 0.5000 1



# 5
# DyPPt, optimized geometry, DFT GGA-PBE
# - formation enthalpy at 0 K (kJ/mol of formula units) = -394
# - total magnetic moment (μB per formula unit) = 0.0
# - final energy (eV per cell) = -20.1
data_DyPPt
_space_group_name_H-M_alt 'P -6 m 2'
_space_group_IT_number 187
_space_group_name_Hall 'P -6 2'
_cell_length_a 4.1160
_cell_length_b 4.1160
_cell_length_c 3.9231
_cell_angle_alpha 90.00
_cell_angle_beta 90.00
_cell_angle_gamma 120.00
loop_
_atom_site_label
_atom_site_type_symbol
_atom_site_fract_x
_atom_site_fract_y
_atom_site_fract_z
_atom_site_occupancy
Dy1 Dy 0.0000 0.0000 0.0000 1
P1 P 0.6667 0.3333 0.5000 1
Pt1 Pt 0.3333 0.6667 0.5000 1



# 6
# DyPPt, optimized geometry, DFT GGA-PBE
# - formation enthalpy at 0 K (kJ/mol of formula units) = -252
# - total magnetic moment (μB per formula unit) = 0.0
# - final energy (eV per cell) = -37.3
data_DyPPt
_space_group_name_H-M_alt 'P 4/n m m'
_space_group_IT_number 129
_cell_length_a 5.4925
_cell_length_b 5.4925
_cell_length_c 4.5004
_cell_angle_alpha 90.00
_cell_angle_beta 90.00
_cell_angle_gamma 90.00
loop_
_space_group_symop_operation_xyz
'x,y,z'
'-x,-y,-z'
'-y+1/2,x,z'
'y+1/2,-x,-z'
'-x+1/2,-y+1/2,z'
'x+1/2,y+1/2,-z'
'y,-x+1/2,z'
'-y,x+1/2,-z'
'x+1/2,-y,-z'
'-x+1/2,y,z'
'-y,-x,-z'
'y,x,z'
'-x,y+1/2,-z'
'x,-y+1/2,z'
'y+1/2,x+1/2,-z'
'-y+1/2,-x+1/2,z'
loop_
_atom_site_label
_atom_site_type_symbol
_atom_site_fract_x
_atom_site_fract_y
_atom_site_fract_z
_atom_site_occupancy
Dy1 Dy 0.2500 0.7500 0.0000 1
P1 P 0.2500 0.2500 0.0021 1
Pt1 Pt 0.2500 0.2500 0.5020 1



# 7
# RbDyP2Pt4, optimized geometry, DFT GGA-PBE
# - formation enthalpy at 0 K (kJ/mol of formula units) = -578
# - total magnetic moment (μB per formula unit) = 0.0
# - final energy (eV per cell) = -46.5
data_RbDyP2Pt4
_space_group_name_H-M_alt 'P 4/m m m'
_space_group_IT_number 123
_space_group_name_Hall '-P 4 2'
_cell_length_a 4.0410
_cell_length_b 4.0410
_cell_length_c 10.9852
_cell_angle_alpha 90.00
_cell_angle_beta 90.00
_cell_angle_gamma 90.00
loop_
_atom_site_label
_atom_site_type_symbol
_atom_site_fract_x
_atom_site_fract_y
_atom_site_fract_z
_atom_site_occupancy
Rb1 Rb 0.0000 0.0000 0.0000 1
Dy1 Dy 0.0000 0.0000 0.5000 1
P1 P 0.5000 0.5000 0.1961 1
Pt1 Pt 0.0000 0.5000 0.3047 1



# 8
# DyP2PtRh2, optimized geometry, DFT GGA-PBE
# - formation enthalpy at 0 K (kJ/mol of formula units) = -435
# - total magnetic moment (μB per formula unit) = 0.0
# - final energy (eV per cell) = -81.4
data_DyP2PtRh2
_space_group_name_H-M_alt 'P n n m'
_space_group_IT_number 58
_space_group_name_Hall '-P 2 2n'
_cell_length_a 6.2475
_cell_length_b 8.2308
_cell_length_c 4.1073
_cell_angle_alpha 90.00
_cell_angle_beta 90.00
_cell_angle_gamma 90.00
loop_
_atom_site_label
_atom_site_type_symbol
_atom_site_fract_x
_atom_site_fract_y
_atom_site_fract_z
_atom_site_occupancy
Dy1 Dy 0.0000 0.0000 0.0000 1
P1 P 0.2285 0.1980 0.5000 1
Pt1 Pt 0.0000 0.5000 0.0000 1
Rh1 Rh 0.1197 0.7328 0.5000 1



- Look up the total magnetic moment of the third one.
  0.0 μB per formula unit



What did the second record say?
# DyPPt6, optimized geometry, DFT GGA-PBE
# - formation enthalpy at 0 K (kJ/mol of formula units) = -432
# - total magnetic moment (μB per formula unit) = 0.0
# - final energy (eV per cell) = -152.2
data_DyPPt6
_space_group_name_H-M_alt 'R -3 m'
_space_group_IT_number 166
_space_group_name_Hall '-R 3 2"'
_cell_length_a 5.5164
_cell_length_b 5.5164
_cell_length_c 17.6629
_cell_angle_alpha 90.00
_cell_angle_beta 90.00
_cell_angle_gamma 120.00
loop_
_atom_site_label
_atom_site_type_symbol
_atom_site_fract_x
_atom_site_fract_y
_atom_site_fract_z
_atom_site_occupancy
Dy1 Dy 0.0000 0.0000 0.0000 1
P1 P 0.0000 0.0000 0.5000 1
Pt1 Pt 0.0101 0.5051 0.9226 1



- Which formula does entry 2 have?
  DyPPt6



- Look up the formation enthalpy at 0 K of the fifth one.
  -394 kJ/mol of formula units